[1]
{"formula": "LiCeTlAu", "functional": "PBE", "state": "relaxed", "cell": [[3.4047, 0.0000, 0.0000], [0.0000, 3.4047, 0.0000], [0.0000, 0.0000, 7.6512]], "species": ["Li", "Ce", "Tl", "Au"], "fractional_positions": [[0.0000, 0.0000, 0.0000], [0.0000, 0.0000, 0.5533], [0.5000, 0.5000, 0.2320], [0.5000, 0.5000, 0.8176]], "space_group": "No. 99", "formation_enthalpy_0k_mev_per_atom": -401, "vol_a3_per_cell": 88.69}

[2]
{"formula": "BaSiPb2", "functional": "PBE", "state": "relaxed", "cell": [[3.4013, -5.0186, 0.0000], [3.4013, 5.0186, 0.0000], [0.0000, 0.0000, 3.6824]], "species": ["Ba", "Si", "Pb", "Pb"], "fractional_positions": [[0.0000, 0.0000, 0.0000], [0.5000, 0.5000, 0.0000], [0.0000, 0.5000, 0.5000], [0.5000, 0.0000, 0.5000]], "space_group": "No. 65", "vol_a3_per_cell": 125.72, "raw_formation_energy_mev_per_atom": 131}

[3]
{"formula": "KY2Ti", "functional": "PBE", "state": "relaxed", "cell": [[0.0000, 3.9641, 3.9641], [3.9641, 0.0000, 3.9641], [3.9641, 3.9641, 0.0000]], "species": ["K", "Y", "Y", "Ti"], "fractional_positions": [[0.0000, 0.0000, 0.0000], [0.2500, 0.2500, 0.2500], [0.7500, 0.7500, 0.7500], [0.5000, 0.5000, 0.5000]], "space_group": "No. 225", "formation_enthalpy_0k_mev_per_atom": 748, "vol_a3_per_cell": 124.58}

[4]
{"formula": "SiHg2C", "functional": "PBE", "state": "relaxed", "cell": [[0.0000, 3.2923, 3.2923], [3.2923, 0.0000, 3.2923], [3.2923, 3.2923, 0.0000]], "species": ["Si", "Hg", "Hg", "C"], "fractional_positions": [[0.0000, 0.0000, 0.0000], [0.2500, 0.2500, 0.2500], [0.7500, 0.7500, 0.7500], [0.5000, 0.5000, 0.5000]], "space_group": "No. 225", "vol_a3_per_cell": 71.37, "raw_formation_energy_mev_per_atom": 1673}

[5]
{"formula": "SmThScZn", "functional": "PBE", "state": "relaxed", "cell": [[0.0000, 3.7499, 3.7499], [3.7499, 0.0000, 3.7499], [3.7499, 3.7499, 0.0000]], "species": ["Sm", "Th", "Sc", "Zn"], "fractional_positions": [[0.0000, 0.0000, 0.0000], [0.5000, 0.5000, 0.5000], [0.7500, 0.7500, 0.7500], [0.2500, 0.2500, 0.2500]], "space_group": "No. 216", "formation_enthalpy_0k_mev_per_atom": 37, "vol_a3_per_cell": 105.46}

[6]
{"formula": "K3Ba2Pr2Bi3O15", "functional": "PBE", "state": "relaxed", "cell": [[3.1321, 1.8083, 25.6261], [-3.1321, 1.8083, 25.6261], [0.0000, -3.6167, 25.6261]], "species": ["K", "K", "K", "K", "K", "K", "Ba", "Ba", "Ba", "Ba", "Pr", "Pr", "Pr", "Pr", "Bi", "Bi", "Bi", "Bi", "Bi", "Bi", "O", "O", "O", "O", "O", "O", "O", "O", "O", "O", "O", "O", "O", "O", "O", "O", "O", "O", "O", "O", "O", "O", "O", "O", "O", "O", "O", "O", "O", "O"], "fractional_positions": [[0.0477, 0.0477, 0.0477], [0.3489, 0.3489, 0.3489], [0.4483, 0.4483, 0.4483], [0.5517, 0.5517, 0.5517], [0.6511, 0.6511, 0.6511], [0.9523, 0.9523, 0.9523], [0.1504, 0.1504, 0.1504], [0.2520, 0.2520, 0.2520], [0.7480, 0.7480, 0.7480], [0.8496, 0.8496, 0.8496], [0.2010, 0.2010, 0.2010], [0.3979, 0.3979, 0.3979], [0.6021, 0.6021, 0.6021], [0.7990, 0.7990, 0.7990], [0.0000, 0.0000, 0.0000], [0.0989, 0.0989, 0.0989], [0.3015, 0.3015, 0.3015], [0.5000, 0.5000, 0.5000], [0.6985, 0.6985, 0.6985], [0.9011, 0.9011, 0.9011], [0.0224, 0.5615, 0.5615], [0.0440, 0.0440, 0.5673], [0.0440, 0.5673, 0.0440], [0.1508, 0.1508, 0.6508], [0.1508, 0.6508, 0.1508], [0.1564, 0.6490, 0.6490], [0.2370, 0.7571, 0.7571], [0.2429, 0.2429, 0.7630], [0.2429, 0.7630, 0.2429], [0.3492, 0.8492, 0.8492], [0.3510, 0.3510, 0.8436], [0.3510, 0.8436, 0.3510], [0.4327, 0.9560, 0.9560], [0.4385, 0.4385, 0.9776], [0.4385, 0.9776, 0.4385], [0.5615, 0.0224, 0.5615], [0.5615, 0.5615, 0.0224], [0.5673, 0.0440, 0.0440], [0.6490, 0.1564, 0.6490], [0.6490, 0.6490, 0.1564], [0.6508, 0.1508, 0.1508], [0.7571, 0.2370, 0.7571], [0.7571, 0.7571, 0.2370], [0.7630, 0.2429, 0.2429], [0.8436, 0.3510, 0.3510], [0.8492, 0.3492, 0.8492], [0.8492, 0.8492, 0.3492], [0.9560, 0.4327, 0.9560], [0.9560, 0.9560, 0.4327], [0.9776, 0.4385, 0.4385]], "space_group": "No. 166", "vol_a3_per_cell": 870.86, "raw_formation_energy_mev_per_atom": -1735}

[7]
{"formula": "MgReRh", "functional": "PBE", "state": "relaxed", "cell": [[4.4433, 0.0000, 0.0000], [-2.2216, 3.8480, 0.0000], [0.0000, 0.0000, 5.5591]], "species": ["Mg", "Mg", "Re", "Re", "Rh", "Rh"], "fractional_positions": [[0.0000, 0.0000, 0.0000], [0.0000, 0.0000, 0.5000], [0.3333, 0.6667, 0.2500], [0.6667, 0.3333, 0.7500], [0.3333, 0.6667, 0.7500], [0.6667, 0.3333, 0.2500]], "space_group": "No. 194", "formation_enthalpy_0k_mev_per_atom": 300, "vol_a3_per_cell": 95.05}

[8]
{"formula": "PmPaSiIr", "functional": "PBE", "state": "relaxed", "cell": [[0.0000, 3.5226, 3.5226], [3.5226, 0.0000, 3.5226], [3.5226, 3.5226, 0.0000]], "species": ["Pm", "Pa", "Si", "Ir"], "fractional_positions": [[0.0000, 0.0000, 0.0000], [0.5000, 0.5000, 0.5000], [0.7500, 0.7500, 0.7500], [0.2500, 0.2500, 0.2500]], "space_group": "No. 216", "vol_a3_per_cell": 87.42, "raw_formation_energy_mev_per_atom": -348}

[9]
{"formula": "SrPrMgCd", "functional": "PBE", "state": "relaxed", "cell": [[4.0174, 0.0000, 0.0000], [0.0000, 4.0174, 0.0000], [0.0000, 0.0000, 7.9549]], "species": ["Sr", "Pr", "Mg", "Cd"], "fractional_positions": [[0.0000, 0.0000, 0.0000], [0.0000, 0.0000, 0.5119], [0.5000, 0.5000, 0.2803], [0.5000, 0.5000, 0.7322]], "space_group": "No. 99", "formation_enthalpy_0k_mev_per_atom": -196, "vol_a3_per_cell": 128.39}

[10]
{"formula": "BaSnBr6", "functional": "PBE", "state": "relaxed", "cell": [[4.4215, -6.4331, 0.0000], [4.4215, 6.4331, 0.0000], [-3.5894, 0.0000, 6.1848]], "species": ["Ba", "Sn", "Br", "Br", "Br", "Br", "Br", "Br"], "fractional_positions": [[0.0000, 0.0000, 0.0000], [0.5000, 0.5000, 0.5000], [0.2091, 0.5000, 0.1957], [0.2132, 0.2132, 0.5346], [0.5000, 0.2091, 0.1957], [0.5000, 0.7909, 0.8043], [0.7868, 0.7868, 0.4654], [0.7909, 0.5000, 0.8043]], "space_group": "No. 12", "vol_a3_per_cell": 351.84, "raw_formation_energy_mev_per_atom": -1173}

[11]
{"formula": "Hg2SbSe", "functional": "PBE", "state": "relaxed", "cell": [[4.0195, 0.0000, 0.0000], [0.0000, 4.2679, 0.0000], [0.0000, 0.0000, 6.4513]], "species": ["Hg", "Hg", "Sb", "Se"], "fractional_positions": [[0.0000, 0.0000, 0.0000], [0.5000, 0.5000, 0.0000], [0.0000, 0.5000, 0.5000], [0.5000, 0.0000, 0.5000]], "space_group": "No. 47", "vol_a3_per_cell": 110.67, "raw_formation_energy_mev_per_atom": 95}

[12]
{"formula": "Ba3PaZn2O8", "functional": "PBE", "state": "relaxed", "cell": [[6.0580, 0.0000, 0.0000], [-3.0290, 5.2464, 0.0000], [0.0000, 0.0000, 7.7572]], "species": ["Ba", "Ba", "Ba", "Pa", "Zn", "Zn", "O", "O", "O", "O", "O", "O", "O", "O"], "fractional_positions": [[0.0000, 0.0000, 0.0000], [0.3333, 0.6667, 0.6536], [0.6667, 0.3333, 0.3464], [0.0000, 0.0000, 0.5000], [0.3333, 0.6667, 0.2108], [0.6667, 0.3333, 0.7892], [0.1649, 0.3299, 0.3319], [0.1649, 0.8351, 0.3319], [0.3299, 0.1649, 0.6681], [0.3333, 0.6667, 0.9714], [0.6667, 0.3333, 0.0286], [0.6701, 0.8351, 0.3319], [0.8351, 0.1649, 0.6681], [0.8351, 0.6701, 0.6681]], "space_group": "No. 164", "vol_a3_per_cell": 246.54, "raw_formation_energy_mev_per_atom": -2405}